This record from Alexandria via LeMat-Bulk describes KCl5 after structural relaxation. The functional is GGA-PBE.

Calculated values
**Formation energy from raw total energies**: -0.08 eV per atom
**Calculated total energy**: -1.7999 eV per atom
**Energy relative to the lowest polymorph listed for this composition**: 3.51 eV per formula unit

```
data_KCl5
_chemical_formula_sum 'K4 Cl20'
_cell_length_a 8.4221
_cell_length_b 8.4221
_cell_length_c 8.4221
_cell_angle_alpha 90.00
_cell_angle_beta 90.00
_cell_angle_gamma 90.00
_symmetry_space_group_name_H-M 'F -4 3 m'
_symmetry_Int_Tables_number 216
_symmetry_space_group_name_Hall 'F -4 2 3'
loop_
_atom_site_label
_atom_site_fract_x
_atom_site_fract_y
_atom_site_fract_z
K1 0.0000 0.0000 0.0000
Cl1 0.1246 0.1246 0.3754
Cl2 0.2500 0.2500 0.7500
```